First-principles (meta-GGA SCAN) data for a PBEsol-optimized structure of TcRu3, as listed in the Alexandria database.

Cell lengths 2.6982, 4.2554, 4.6730 Å; angles 90.00, 90.00, 90.00 degrees
Sites, in units of the cell vectors:
Tc 0.0000 0.0000 0.0000
Ru 0.0000 0.5000 0.6687
Ru 0.5000 0.0000 0.5075
Ru 0.5000 0.5000 0.1709

Total magnetic moment (μB per atom): 0.00
Electronic total energy (eV per atom): -34.946
Density of states at the Fermi level (states/eV/f.u.): 2.8



First-principles (meta-GGA SCAN) data for a PBEsol-optimized structure of TcRu3, as listed in the Alexandria database.

Cell lengths 2.6992, 8.5077, 4.6717 Å; angles 90.00, 90.00, 90.00 degrees
Sites, in units of the cell vectors:
Tc 0.0000 0.0000 0.0000
Tc 0.5000 0.5000 0.5000
Ru 0.0000 0.2502 0.3337
Ru 0.0000 0.5000 0.9995
Ru 0.0000 0.7498 0.3337
Ru 0.5000 0.0000 0.4995
Ru 0.5000 0.2498 0.8337
Ru 0.5000 0.7502 0.8337

Total magnetic moment (μB per atom): 0.00
Electronic total energy (eV per atom): -34.937
Density of states at the Fermi level (states/eV/f.u.): 3.0



First-principles (meta-GGA SCAN) data for a PBEsol-optimized structure of TcRu3, as listed in the Alexandria database.

Cell lengths 6.0414, 6.0414, 6.0414 Å; angles 90.00, 90.00, 90.00 degrees
Sites, in units of the cell vectors:
Tc 0.0000 0.0000 0.0000
Tc 0.0000 0.5000 0.5000
Tc 0.5000 0.0000 0.5000
Tc 0.5000 0.5000 0.0000
Ru 0.0000 0.0000 0.5000
Ru 0.0000 0.5000 0.0000
Ru 0.2500 0.2500 0.2500
Ru 0.2500 0.2500 0.7500
Ru 0.2500 0.7500 0.2500
Ru 0.2500 0.7500 0.7500
Ru 0.5000 0.0000 0.0000
Ru 0.5000 0.5000 0.5000
Ru 0.7500 0.2500 0.2500
Ru 0.7500 0.2500 0.7500
Ru 0.7500 0.7500 0.2500
Ru 0.7500 0.7500 0.7500

Total magnetic moment (μB per atom): 0.54
Electronic total energy (eV per atom): -34.357
Density of states at the Fermi level (states/eV/f.u.): 4.7



First-principles (meta-GGA SCAN) data for a PBEsol-optimized structure of Tc8Ru, as listed in the Alexandria database.

Cell lengths 6.0416, 6.0416, 6.0416 Å; angles 95.73, 95.73, 143.17 degrees
Sites, in units of the cell vectors:
Tc 0.0000 0.3313 0.3313
Tc 0.0000 0.6687 0.6687
Tc 0.3313 0.0000 0.3313
Tc 0.3347 0.3347 0.6694
Tc 0.3347 0.6653 0.0000
Tc 0.6653 0.3347 0.0000
Tc 0.6653 0.6653 0.3306
Tc 0.6687 0.0000 0.6687
Ru 0.0000 0.0000 0.0000

Total magnetic moment (μB per atom): 0.00
Electronic total energy (eV per atom): -34.975
Density of states at the Fermi level (states/eV/f.u.): 9.1



First-principles (meta-GGA SCAN) data for a PBEsol-optimized structure of Tc2Ru, as listed in the Alexandria database.

Cell lengths 9.8038, 2.7061, 6.3757 Å; angles 90.00, 103.72, 90.00 degrees
Sites, in units of the cell vectors:
Tc 0.0000 0.0000 0.0000
Tc 0.0566 0.0000 0.6129
Tc 0.2240 0.5000 0.9467
Tc 0.3882 0.0000 0.2817
Tc 0.5000 0.5000 0.0000
Tc 0.5566 0.5000 0.6129
Tc 0.7240 0.0000 0.9467
Tc 0.8882 0.5000 0.2817
Ru 0.1674 0.5000 0.3350
Ru 0.3332 0.0000 0.6691
Ru 0.6674 0.0000 0.3350
Ru 0.8332 0.5000 0.6691

Total magnetic moment (μB per atom): 0.00
Energy above the most stable polymorph in this dataset (eV per atom): 0.003
Density of states at the Fermi level (states/eV/f.u.): 2.5



First-principles (meta-GGA SCAN) data for a PBEsol-optimized structure of TcRu2, as listed in the Alexandria database.

Cell lengths 9.7236, 2.7004, 6.3331 Å; angles 90.00, 103.63, 90.00 degrees
Sites, in units of the cell vectors:
Tc 0.0000 0.0000 0.0000
Tc 0.1681 0.5000 0.3361
Tc 0.5000 0.5000 0.0000
Tc 0.6681 0.0000 0.3361
Ru 0.1126 0.5000 0.7240
Ru 0.2782 0.0000 0.0580
Ru 0.3343 0.0000 0.6674
Ru 0.4461 0.5000 0.3898
Ru 0.6126 0.0000 0.7240
Ru 0.7782 0.5000 0.0580
Ru 0.8343 0.5000 0.6674
Ru 0.9461 0.0000 0.3898

Total magnetic moment (μB per atom): 0.00
Energy above the most stable polymorph in this dataset (eV per atom): 0.007
Density of states at the Fermi level (states/eV/f.u.): 2.2



First-principles (meta-GGA SCAN) data for a PBEsol-optimized structure of Tc2Ru, as listed in the Alexandria database.

Cell lengths 2.7080, 14.1361, 4.2970 Å; angles 90.00, 90.00, 90.00 degrees
Sites, in units of the cell vectors:
Tc 0.0000 0.0554 0.2500
Tc 0.0000 0.3870 0.2500
Tc 0.0000 0.6130 0.7500
Tc 0.0000 0.9446 0.7500
Tc 0.5000 0.1130 0.7500
Tc 0.5000 0.4446 0.7500
Tc 0.5000 0.5554 0.2500
Tc 0.5000 0.8870 0.2500
Ru 0.0000 0.2771 0.7500
Ru 0.0000 0.7229 0.2500
Ru 0.5000 0.2229 0.2500
Ru 0.5000 0.7771 0.7500

Total magnetic moment (μB per atom): 0.00
Energy above the most stable polymorph in this dataset (eV per atom): 0.024
Density of states at the Fermi level (states/eV/f.u.): 2.7



First-principles (meta-GGA SCAN) data for a PBEsol-optimized structure of TcRu5, as listed in the Alexandria database.

Cell lengths 9.6937, 2.6959, 6.3116 Å; angles 90.00, 103.55, 90.00 degrees
Sites, in units of the cell vectors:
Tc 0.0000 0.0000 0.0000
Tc 0.5000 0.5000 0.0000
Ru 0.1112 0.5000 0.7220
Ru 0.1669 0.5000 0.3322
Ru 0.2777 0.0000 0.0545
Ru 0.3332 0.0000 0.6660
Ru 0.4449 0.5000 0.3877
Ru 0.6112 0.0000 0.7220
Ru 0.6669 0.0000 0.3322
Ru 0.7777 0.5000 0.0545
Ru 0.8332 0.5000 0.6660
Ru 0.9449 0.0000 0.3877

Total magnetic moment (μB per atom): 0.00
Electronic total energy (eV per atom): -34.902
Density of states at the Fermi level (states/eV/f.u.): 4.5



> Among the records above, which one has the highest total magnetic moment?

number 3